Here is a relaxed structure of Ac4Al3Ge5 from Alexandria via LeMat-Bulk. Energies are from PBE.

Structure (POSCAR):
```
Ac4Al3Ge5
1.0
4.811 0.000 0.000
2.405 7.561 0.438
2.405 3.102 9.548
Ac Al Ge
4 3 5
Cartesian
7.216 4.604 8.180 Ac
4.811 8.092 7.129 Ac
4.811 2.571 2.857 Ac
2.405 6.059 1.806 Ac
4.811 7.737 3.964 Al
2.405 5.332 4.993 Al
4.811 2.926 6.023 Al
7.216 9.917 8.914 Ge
4.811 5.332 4.993 Ge
2.405 3.177 0.400 Ge
7.216 7.486 9.586 Ge
2.405 0.746 1.072 Ge
```

Calculated values
Its space group is C2/m (12). The calculation puts the formation energy at -0.33 eV/atom. Its density of states at the Fermi level is 0.573 states/eV/atom.



Here is a relaxed structure of CeBeFe2Si2 from Alexandria via LeMat-Bulk. Energies are from PBE.

Structure (POSCAR):
```
CeBeFe2Si2
1.0
-1.378 3.694 -0.658
-3.110 -0.732 2.402
2.759 1.761 4.109
Ce Be Fe Si
1 1 2 2
Cartesian
1.379 0.881 2.054 Ce
0.000 0.000 0.000 Be
-0.689 1.847 -0.329 Fe
-1.555 -0.366 1.201 Fe
-0.183 2.796 3.941 Si
-1.545 1.926 1.912 Si
```

Calculated values
Its space group is P4/mmm (123). The value obtained for the uncorrected energy is -39.87 eV/cell. Its density of states at the Fermi level is 0.874 states/eV/atom.



Here is a relaxed structure of NaCrCl4 from Alexandria via LeMat-Bulk. Energies are from PBE.

Structure (POSCAR):
```
NaCrCl4
1.0
3.608 0.000 0.000
-1.804 5.841 -2.193
0.000 1.174 6.889
Na Cr Cl
1 1 4
Cartesian
1.804 0.587 3.444 Na
0.000 0.000 0.000 Cr
0.000 4.679 -1.092 Cl
0.000 1.627 1.668 Cl
1.804 2.336 5.788 Cl
1.804 5.388 3.028 Cl
```

Calculated values
Its space group is C2/m (12). The value obtained for the uncorrected energy is -26.18 eV/cell.



Here is a relaxed structure of CaSnPb6 from Alexandria via LeMat-Bulk. Energies are from PBE.

Structure (POSCAR):
```
CaSnPb6
1.0
-1.408 -0.798 -4.753
-4.209 -5.177 2.116
-5.242 4.571 0.785
Ca Sn Pb
1 1 6
Cartesian
-0.704 -0.399 -2.377 Ca
-5.429 -0.702 -0.926 Sn
-4.475 -2.670 1.773 Pb
-4.977 2.064 1.127 Pb
-7.027 -0.450 2.156 Pb
-2.425 -0.155 0.744 Pb
-2.808 -2.987 -1.319 Pb
-3.325 1.887 -1.984 Pb
```

Calculated values
Its space group is Cmmm (65). The calculation puts the formation energy at -0.12 eV/atom. Its density of states at the Fermi level is 0.441 states/eV/atom.



Here is a relaxed structure of La4Ce3MnN8 from Alexandria via LeMat-Bulk. Energies are from PBE.

Structure (POSCAR):
```
La4Ce3MnN8
1.0
7.210 0.000 0.000
0.000 7.247 0.020
-3.605 -3.601 5.104
La Ce Mn N
4 3 1 8
Cartesian
3.605 0.000 0.000 La
1.802 -1.801 2.552 La
0.000 0.000 0.000 La
-1.802 -1.801 2.552 La
3.605 3.624 0.010 Ce
1.802 1.823 2.562 Ce
-1.802 1.823 2.562 Ce
0.000 3.624 0.010 Mn
-1.751 1.762 5.032 N
0.000 3.511 2.557 N
0.000 0.117 2.632 N
1.751 1.762 5.032 N
1.854 1.883 0.092 N
3.605 3.528 2.492 N
3.605 0.134 2.567 N
5.356 1.883 0.092 N
```

Calculated values
Its space group is R-3m (166). The value obtained for the uncorrected energy is -131.92 eV/cell. Its density of states at the Fermi level is 0.484 states/eV/atom.



Here is a relaxed structure of Tb2CoHg from Alexandria via LeMat-Bulk. Energies are from PBE.

Structure (POSCAR):
```
Tb2CoHg
1.0
3.818 0.000 0.000
1.909 3.307 0.000
1.909 1.102 9.419
Co Tb Hg
1 2 1
Cartesian
3.818 2.205 4.710 Co
1.909 1.102 6.162 Tb
5.728 3.307 3.258 Tb
0.000 0.000 0.000 Hg
```

Calculated values
Its space group is R-3m (166). The calculation puts the formation energy at -0.04 eV/atom. Its density of states at the Fermi level is 0.690 states/eV/atom.



So what do the calculations give for calculated volume? Going down the list: 341, 84, 154, 246, 267, 119 Å³/f.u..